1.
The following is a PBE calculation of a relaxed structure of In2Te5, from Alexandria.

Calculated values
Its total magnetization is 0.00 μB/f.u. Its uncorrected formation energy is -0.2294 eV per atom.

Cell lengths 8.8355, 8.8355, 14.1391 Å; angles 90.02, 90.02, 151.31 degrees
Closest atoms and distances in Å follow each position.
Atoms (fractional coordinates):
In (0.0043, 0.9957, 0.5000)  4 Te 2.78-2.92
In (0.3845, 0.6135, 0.3389)  4 Te 2.78-2.91
In (0.6135, 0.3845, 0.8389)  4 Te 2.78-2.91
In (0.9957, 0.0043, 0.0000)  4 Te 2.78-2.92
Te (0.0110, 0.9868, 0.7945)  3 In 2.87-2.92
Te (0.1580, 0.8417, 0.5630)  1 In 2.78, 2 Te 3.07
Te (0.2316, 0.7665, 0.2735)  1 In 2.78, 2 Te 3.06
Te (0.3039, 0.6942, 0.9176)  4 Te 3.06-3.07
Te (0.4015, 0.5987, 0.5437)  3 In 2.88-2.91
Te (0.5987, 0.4015, 0.0437)  3 In 2.88-2.91
Te (0.6942, 0.3039, 0.4176)  4 Te 3.06-3.07
Te (0.7665, 0.2316, 0.7735)  1 In 2.78, 2 Te 3.06
Te (0.8417, 0.1580, 0.0630)  1 In 2.78, 2 Te 3.07
Te (0.9868, 0.0110, 0.2945)  3 In 2.87-2.92

2.
The following is a PBE calculation of a relaxed structure of InTe2, from Alexandria.

Calculated values
Its total magnetization is 0.00 μB/f.u. Its uncorrected formation energy is -0.1453 eV per atom.

Cell lengths 4.3809, 4.3809, 5.6029 Å; angles 90.00, 90.00, 120.00 degrees
Closest atoms and distances in Å follow each position.
Atoms (fractional coordinates):
In (0.0000, 0.0000, 0.0000)  6 Te 3.03
Te (0.3333, 0.6667, 0.2969)  3 In 3.03
Te (0.6667, 0.3333, 0.7031)  3 In 3.03

3.
The following is a PBE calculation of a relaxed structure of In3Te2, from Alexandria.

Calculated values
Its total magnetization is 0.00 μB/f.u. Its uncorrected formation energy is -0.1007 eV per atom.

Cell lengths 8.8896, 8.8896, 8.8896 Å; angles 50.04, 50.04, 50.04 degrees
Closest atoms and distances in Å follow each position.
Atoms (fractional coordinates):
In (0.0056, 0.2500, 0.4944)  2 Te 3.04, 2 In 3.18
In (0.2500, 0.4944, 0.0056)  2 Te 3.04, 2 In 3.18
In (0.4944, 0.0056, 0.2500)  2 Te 3.04, 2 In 3.18
In (0.5056, 0.9944, 0.7500)  2 Te 3.04, 2 In 3.18
In (0.7500, 0.5056, 0.9944)  2 Te 3.04, 2 In 3.18
In (0.9944, 0.7500, 0.5056)  2 Te 3.04, 2 In 3.18
Te (0.1222, 0.1222, 0.1222)  3 In 3.04
Te (0.3778, 0.3778, 0.3778)  3 In 3.04
Te (0.6222, 0.6222, 0.6222)  3 In 3.04
Te (0.8778, 0.8778, 0.8778)  3 In 3.04

4.
The following is a PBE calculation of a relaxed structure of In5Te3, from Alexandria.

Calculated values
Its total magnetization is 0.00 μB/f.u. Its uncorrected formation energy is -0.1776 eV per atom.

Cell lengths 7.2560, 7.2560, 9.7556 Å; angles 90.00, 90.00, 74.76 degrees
Closest atoms and distances in Å follow each position.
Atoms (fractional coordinates):
In (0.0063, 0.5104, 0.2500)  5 Te 3.17-3.37, 2 In 3.36
In (0.0217, 0.9783, 0.7500)  5 Te 3.12-3.33, 2 In 3.30
In (0.2881, 0.7119, 0.0605)  4 Te 3.13-3.49, 3 In 3.30-3.36
In (0.2881, 0.7119, 0.4395)  4 Te 3.13-3.49, 3 In 3.30-3.36
In (0.4896, 0.9937, 0.2500)  5 Te 3.17-3.37, 2 In 3.36
In (0.5104, 0.0063, 0.7500)  5 Te 3.17-3.37, 2 In 3.36
In (0.7119, 0.2881, 0.5605)  4 Te 3.13-3.49, 3 In 3.30-3.36
In (0.7119, 0.2881, 0.9395)  4 Te 3.13-3.49, 3 In 3.30-3.36
In (0.9783, 0.0217, 0.2500)  5 Te 3.12-3.33, 2 In 3.30
In (0.9937, 0.4896, 0.7500)  5 Te 3.17-3.37, 2 In 3.36
Te (0.1965, 0.1965, 0.0000)  8 In 3.32-3.45
Te (0.1965, 0.1965, 0.5000)  8 In 3.32-3.45
Te (0.3757, 0.6243, 0.7500)  7 In 3.12-3.49
Te (0.6243, 0.3757, 0.2500)  7 In 3.12-3.49
Te (0.8035, 0.8035, 0.0000)  8 In 3.32-3.45
Te (0.8035, 0.8035, 0.5000)  8 In 3.32-3.45

5.
The following is a PBE calculation of a relaxed structure of In2Te, from Alexandria.

Calculated values
Its total magnetization is 0.00 μB/f.u. Its uncorrected formation energy is -0.1052 eV per atom.

Cell lengths 6.4986, 6.4986, 6.4986 Å; angles 144.83, 144.83, 50.58 degrees
Closest atoms and distances in Å follow each position.
Atoms (fractional coordinates):
In (0.1525, 0.1525, 0.0000)  4 Te 3.30, 5 In 3.58-3.60
In (0.8475, 0.8475, 0.0000)  4 Te 3.30, 5 In 3.58-3.60
Te (0.5000, 0.5000, 0.0000)  8 In 3.30

6.
The following is a PBE calculation of a relaxed structure of InTe3, from Alexandria.

Calculated values
Its total magnetization is 0.00 μB/f.u. Its uncorrected formation energy is 0.1592 eV per atom.

Cell lengths 6.1525, 6.1525, 3.2004 Å; angles 90.00, 90.00, 90.18 degrees
Closest atoms and distances in Å follow each position.
Atoms (fractional coordinates):
In (0.0000, 0.0000, 0.0000)  2 In 3.20, 8 Te 3.47
Te (0.0000, 0.5000, 0.5000)  6 Te 3.20-3.47, 4 In 3.47
Te (0.5000, 0.0000, 0.5000)  6 Te 3.20-3.47, 4 In 3.47
Te (0.5000, 0.5000, 0.0000)  10 Te 3.20-3.47

7.
The following is a PBE calculation of a relaxed structure of InTe3, from Alexandria.

Calculated values
Its total magnetization is 0.00 μB/f.u. Its uncorrected formation energy is 0.2666 eV per atom.

Cell lengths 6.1893, 6.1893, 6.1893 Å; angles 90.00, 90.00, 90.00 degrees
Closest atoms and distances in Å follow each position.
Atoms (fractional coordinates):
In (0.0000, 0.0000, 0.0000)  12 Te 3.46
In (0.5000, 0.5000, 0.5000)  12 Te 3.46
Te (0.0000, 0.2500, 0.5000)  2 Te 3.09, 4 In 3.46
Te (0.0000, 0.7500, 0.5000)  2 Te 3.09, 4 In 3.46
Te (0.2500, 0.5000, 0.0000)  2 Te 3.09, 4 In 3.46
Te (0.5000, 0.0000, 0.2500)  2 Te 3.09, 4 In 3.46
Te (0.5000, 0.0000, 0.7500)  2 Te 3.09, 4 In 3.46
Te (0.7500, 0.5000, 0.0000)  2 Te 3.09, 4 In 3.46

8.
The following is a PBE calculation of a relaxed structure of In5Te3, from Alexandria.

Calculated values
Its total magnetization is 0.00 μB/f.u. Its uncorrected formation energy is -0.1333 eV per atom.

Cell lengths 6.9670, 6.9670, 5.4201 Å; angles 90.00, 90.00, 109.90 degrees
Closest atoms and distances in Å follow each position.
Atoms (fractional coordinates):
In (0.0000, 0.0000, 0.0000)  8 In 3.48-3.53, 4 Te 3.50
In (0.0000, 0.5000, 0.0000)  6 Te 3.43-3.48, 2 In 3.48
In (0.2824, 0.2824, 0.5000)  4 Te 3.16-3.22, 3 In 3.48-3.53
In (0.5000, 0.0000, 0.0000)  6 Te 3.43-3.48, 2 In 3.48
In (0.7176, 0.7176, 0.5000)  4 Te 3.16-3.22, 3 In 3.48-3.53
Te (0.1938, 0.8062, 0.5000)  8 In 3.16-3.50
Te (0.5000, 0.5000, 0.0000)  8 In 3.22-3.48
Te (0.8062, 0.1938, 0.5000)  8 In 3.16-3.50

9.
The following is a PBE calculation of a relaxed structure of In2Te, from Alexandria.

Calculated values
Its total magnetization is 0.00 μB/f.u. Its uncorrected formation energy is -0.0528 eV per atom.

Cell lengths 5.4577, 5.4577, 5.4577 Å; angles 60.00, 60.00, 60.00 degrees
Closest atoms and distances in Å follow each position.
Atoms (fractional coordinates):
In (0.2500, 0.2500, 0.2500)  4 Te 3.34
In (0.7500, 0.7500, 0.7500)  4 Te 3.34
Te (0.0000, 0.0000, 0.0000)  8 In 3.34

10.
The following is a PBE calculation of a relaxed structure of InTe4, from Alexandria.

Calculated values
Its total magnetization is 0.00 μB/f.u. Its uncorrected formation energy is 0.5460 eV per atom.

Cell lengths 5.6403, 5.6403, 5.6403 Å; angles 90.00, 90.00, 90.00 degrees
Closest atoms and distances in Å follow each position.
Atoms (fractional coordinates):
In (0.0000, 0.0000, 0.0000)  6 Te 2.82
Te (0.0000, 0.0000, 0.5000)  2 In 2.82
Te (0.0000, 0.5000, 0.0000)  2 In 2.82
Te (0.5000, 0.0000, 0.0000)  2 In 2.82
Te (0.5000, 0.5000, 0.5000)  12 Te 3.99

11.
The following is a PBE calculation of a relaxed structure of InTe2, from Alexandria.

Calculated values
Its total magnetization is 0.00 μB/f.u. Its uncorrected formation energy is -0.0313 eV per atom.

Cell lengths 6.1904, 6.1904, 9.2525 Å; angles 116.91, 116.91, 42.94 degrees
Closest atoms and distances in Å follow each position.
Atoms (fractional coordinates):
In (0.1155, 0.1155, 0.4753)  1 In 2.91, 3 Te 3.11-3.16
In (0.8845, 0.8845, 0.5247)  1 In 2.91, 3 Te 3.11-3.16
Te (0.2362, 0.2362, 0.2390)  1 Te 2.79, 1 In 3.11
Te (0.4662, 0.4662, 0.2111)  1 Te 2.79
Te (0.5338, 0.5338, 0.7889)  1 Te 2.79
Te (0.7638, 0.7638, 0.7610)  1 Te 2.79, 1 In 3.11

12.
The following is a PBE calculation of a relaxed structure of InTe2, from Alexandria.

Calculated values
Its total magnetization is 0.00 μB/f.u. Its uncorrected formation energy is -0.1704 eV per atom.

Cell lengths 4.5235, 4.5235, 11.7455 Å; angles 92.88, 92.88, 56.84 degrees
Closest atoms and distances in Å follow each position.
Atoms (fractional coordinates):
In (0.0163, 0.0163, 0.2451)  5 Te 2.91-3.05
In (0.9837, 0.9837, 0.7549)  5 Te 2.91-3.05
Te (0.3110, 0.3110, 0.8788)  3 In 2.91-2.98
Te (0.3906, 0.3906, 0.4039)  1 Te 2.77, 2 In 3.05
Te (0.6094, 0.6094, 0.5961)  1 Te 2.77, 2 In 3.05
Te (0.6890, 0.6890, 0.1212)  3 In 2.91-2.98